1.
The following is a PBE-GGA calculation of a geometry-optimized VBiB2N structure, from Alexandria via LeMat-Bulk.

Summary:
Formation energy (no corrections)   1.350 eV per atom
Crystal system   tetragonal
Calculated total energy   -27.93 eV per cell

Cell: 4.1308 3.7860 4.1308 Å, 90.00 90.00 90.00°
Fractional coordinates of all 5 atoms:
B 0.0000 0.0000 0.5000
B 0.5000 0.0000 0.0000
N 0.0000 0.0000 0.0000
Bi 0.5000 0.5000 0.5000
V 0.0000 0.5000 0.0000

2.
The following is a PBE-GGA calculation of a geometry-optimized TaFeB4 structure, from Alexandria via LeMat-Bulk.

Summary:
Crystal system   orthorhombic
Calculated total energy   -197.85 eV per cell

Cell: 3.1600 5.7031 11.0921 Å, 90.00 90.00 90.00°
Fractional coordinates of all 24 atoms:
Ta 0.0000 0.6291 0.3467
Ta 0.0000 0.3709 0.6533
Ta 0.0000 0.1291 0.1533
Ta 0.0000 0.8709 0.8467
Fe 0.0000 0.6389 0.0907
Fe 0.0000 0.3611 0.9093
Fe 0.0000 0.1389 0.4093
Fe 0.0000 0.8611 0.5907
B 0.5000 0.7921 0.1881
B 0.5000 0.2079 0.8119
B 0.5000 0.2921 0.3119
B 0.5000 0.7079 0.6881
B 0.5000 0.8694 0.0327
B 0.5000 0.1306 0.9673
B 0.5000 0.3694 0.4673
B 0.5000 0.6306 0.5327
B 0.5000 0.8839 0.4518
B 0.5000 0.1161 0.5482
B 0.5000 0.3839 0.0482
B 0.5000 0.6161 0.9518
B 0.5000 0.9789 0.3055
B 0.5000 0.0211 0.6945
B 0.5000 0.4789 0.1945
B 0.5000 0.5211 0.8055

3.
The following is a PBE-GGA calculation of a geometry-optimized Ba2SbP structure, from Alexandria via LeMat-Bulk.

Summary:
Formation energy (no corrections)   -0.609 eV per atom
Relative energy among the computed polymorphs   0.2748 eV/atom
Crystal system   tetragonal
Calculated total energy   -31.62 eV per cell

Cell: 9.0778 9.0778 7.3190 Å, 51.67 51.67 90.00°
Fractional coordinates of all 8 atoms:
Sb 0.0000 0.0000 0.0000
Sb 0.7500 0.2500 0.5000
Ba 0.5867 0.1250 0.2500
Ba 0.1633 0.6250 0.2500
Ba 0.3750 0.4133 0.7500
Ba 0.8750 0.8367 0.7500
P 0.5000 0.5000 0.0000
P 0.2500 0.7500 0.5000

4.
The following is a PBE-GGA calculation of a geometry-optimized Ca3Tc5 structure, from Alexandria via LeMat-Bulk.

Summary:
Crystal system   triclinic
Calculated total energy   -109.58 eV per cell

Cell: 10.1328 9.8039 7.8881 Å, 70.48 108.10 151.50°
Fractional coordinates of all 16 atoms:
Ca 0.6976 0.7782 0.1127
Ca 0.3016 0.2218 0.8873
Ca 0.2731 0.1567 0.4659
Ca 0.7261 0.8433 0.5341
Ca 0.0715 0.4192 0.9663
Ca 0.9277 0.5808 0.0337
Tc 0.2295 0.7600 0.5341
Tc 0.7697 0.2400 0.4659
Tc 0.6091 0.9272 0.7525
Tc 0.3901 0.0728 0.2475
Tc 0.8100 0.5605 0.3405
Tc 0.1892 0.4394 0.6595
Tc 0.4705 0.0337 0.8172
Tc 0.5287 0.9663 0.1829
Tc 0.1535 0.4696 0.3395
Tc 0.8457 0.5304 0.6605